Here is an optimized crystal structure of RbNiO2 from the Alexandria database. Energies are from PBE+U.

Geometry as POSCAR:
```
RbNiO2
1.0
8.218 -0.025 -0.079
-1.259 3.122 0.001
-3.595 1.179 5.385
O Ni Rb
4 2 2
direct
0.257 0.917 0.047
0.799 0.852 0.369
0.537 0.807 0.887
0.896 0.695 0.290
0.374 0.521 0.050
0.683 0.293 0.093
0.239 0.334 0.498
0.876 0.156 0.769
```

The symmetry is P1. The calculation puts the density at 4.3 g/cm3. The total DFT energy (no corrections) comes out at -16.6 eV/f.u. The calculation puts the density of states at the Fermi level at 0.00 states/eV/f.u.